[1]
Compound: Tc2AsRh
Source: Alexandria via LeMat-Bulk
Functional: GGA-PBE
Structure: optimized geometry

The value obtained for the energy is -8.04 eV/atom. The calculation puts the density of states at the Fermi level at 8.0 states/eV per cell.

The space group is Cmmm (No. 65) and the conventional cell measures 5.059, 8.147 and 2.860 Å, with angles of 90.00, 90.00 and 90.00 degrees. The asymmetric unit holds Tc at (0.250, 0.250, 0.000), As at (0.000, 0.000, 0.500) and Rh at (0.000, 0.500, 0.500).


[2]
Compound: TcAs2Rh
Source: Alexandria via LeMat-Bulk
Functional: GGA-PBE
Structure: optimized geometry

The value obtained for the energy is -6.81 eV/atom. The calculation puts the density of states at the Fermi level at 17.9 states/eV per cell.

The space group is Fm-3m (No. 225) and the conventional cell measures 6.212, 6.212 and 6.212 Å, with angles of 90.00, 90.00 and 90.00 degrees. The asymmetric unit holds Tc at (0.000, 0.000, 0.000), As at (0.250, 0.250, 0.250) and Rh at (0.000, 0.000, 0.500).


[3]
Compound: TcAs2Rh
Source: Alexandria via LeMat-Bulk
Functional: GGA-PBE
Structure: optimized geometry

The value obtained for the energy is -6.57 eV/atom. The calculation puts the density of states at the Fermi level at 5.8 states/eV per cell.

The space group is Cmmm (No. 65) and the conventional cell measures 3.177, 5.121 and 7.822 Å, with angles of 90.00, 90.00 and 90.00 degrees. The asymmetric unit holds Tc at (0.000, 0.000, 0.000), As at (0.000, 0.500, 0.250) and Rh at (0.000, 0.000, 0.500).


[4]
Compound: TcAsRh2
Source: Alexandria via LeMat-Bulk
Functional: GGA-PBE
Structure: optimized geometry

The value obtained for the energy is -7.47 eV/atom. The calculation puts the density of states at the Fermi level at 4.3 states/eV per cell.

The space group is I4/mmm (No. 139) and the conventional cell measures 3.833, 3.833 and 7.831 Å, with angles of 90.00, 90.00 and 90.00 degrees. The asymmetric unit holds Tc at (0.000, 0.000, 0.000), As at (0.000, 0.000, 0.500) and Rh at (0.000, 0.500, 0.250).


[5]
Compound: Tc2AsRh
Source: Alexandria via LeMat-Bulk
Functional: GGA-PBE
Structure: optimized geometry

The value obtained for the energy is -8.25 eV/atom. The calculation puts the density of states at the Fermi level at 4.3 states/eV per cell.

The space group is Imm2 (No. 44) and the conventional cell measures 3.000, 4.401 and 8.746 Å, with angles of 90.00, 90.00 and 90.00 degrees. The asymmetric unit holds Tc at (0.000, 0.000, 0.000), Tc at (0.000, 0.500, 0.232), As at (0.000, 0.500, 0.730) and Rh at (0.000, 0.000, 0.450).


[6]
Compound: TcAsRh2
Source: Alexandria via LeMat-Bulk
Functional: GGA-PBE
Structure: optimized geometry

The value obtained for the energy is -6.92 eV/atom. The calculation puts the density of states at the Fermi level at 13.4 states/eV per cell.

The space group is I-42d (No. 122) and the conventional cell measures 5.471, 5.471 and 11.220 Å, with angles of 90.00, 90.00 and 90.00 degrees. The asymmetric unit holds Tc at (0.000, 0.000, 0.000), As at (0.000, 0.000, 0.500) and Rh at (0.250, 0.250, 0.125).


[7]
Compound: TcAs2Rh
Source: Alexandria via LeMat-Bulk
Functional: GGA-PBE
Structure: optimized geometry

The value obtained for the energy is -6.84 eV/atom. The calculation puts the density of states at the Fermi level at 3.9 states/eV per cell.

The space group is P4mm (No. 99) and the conventional cell measures 2.935, 2.935 and 7.882 Å, with angles of 90.00, 90.00 and 90.00 degrees. The asymmetric unit holds Tc at (0.000, 0.000, 0.000), As at (0.000, 0.000, 0.564), As at (0.500, 0.500, 0.196) and Rh at (0.500, 0.500, 0.762).


[8]
Compound: Tc2AsRh
Source: Alexandria via LeMat-Bulk
Functional: GGA-PBE
Structure: optimized geometry

The value obtained for the energy is -8.16 eV/atom. The calculation puts the density of states at the Fermi level at 8.1 states/eV per cell.

The space group is Cm (No. 8) and the conventional cell measures 9.038, 2.834 and 4.617 Å, with angles of 90.00, 95.03 and 90.00 degrees. The asymmetric unit holds Tc at (0.000, 0.000, 0.000), Tc at (0.237, 0.500, 0.219), As at (0.497, 0.000, 0.491) and Rh at (0.262, 0.000, 0.733).


[9]
Compound: TcAsRh2
Source: Alexandria via LeMat-Bulk
Functional: GGA-PBE
Structure: optimized geometry

The value obtained for the energy is -7.40 eV/atom. The calculation puts the density of states at the Fermi level at 3.8 states/eV per cell.

The space group is Pmm2 (No. 25) and the conventional cell measures 2.818, 3.657 and 5.722 Å, with angles of 90.00, 90.00 and 90.00 degrees. The asymmetric unit holds Tc at (0.000, 0.000, 0.000), As at (0.500, 0.500, 0.293), Rh at (0.000, 0.000, 0.507) and Rh at (0.500, 0.500, 0.785).


[10]
Compound: Tc2AsRh
Source: Alexandria via LeMat-Bulk
Functional: GGA-PBE
Structure: optimized geometry

The value obtained for the energy is -8.15 eV/atom. The calculation puts the density of states at the Fermi level at 3.9 states/eV per cell.

The space group is P2/m (No. 10) and the conventional cell measures 2.821, 4.044 and 5.315 Å, with angles of 90.00, 103.73 and 90.00 degrees. The asymmetric unit holds Tc at (0.124, 0.000, 0.255), As at (0.500, 0.500, 0.500) and Rh at (0.500, 0.500, 0.000).


[11]
Compound: UTc2As2Rh
Source: Alexandria via LeMat-Bulk
Functional: GGA-PBE
Structure: optimized geometry

The value obtained for the energy is -8.42 eV/atom. The calculation puts the density of states at the Fermi level at 12.5 states/eV per cell.

The space group is Pmc2_1 (No. 26) and the conventional cell measures 4.253, 7.752 and 6.046 Å, with angles of 90.00, 90.00 and 90.00 degrees. The asymmetric unit holds U at (0.000, 0.078, 0.000), Tc at (0.000, 0.297, 0.421), Tc at (0.500, 0.454, 0.108), As at (0.000, 0.406, 0.808), As at (0.500, 0.164, 0.309) and Rh at (0.500, 0.186, 0.726).


[12]
Compound: ZnTcAsRh
Source: Alexandria via LeMat-Bulk
Functional: GGA-PBE
Structure: optimized geometry

The value obtained for the energy is -6.06 eV/atom. The calculation puts the density of states at the Fermi level at 6.3 states/eV per cell.

The space group is F-43m (No. 216) and the conventional cell measures 6.091, 6.091 and 6.091 Å, with angles of 90.00, 90.00 and 90.00 degrees. The asymmetric unit holds Zn at (0.000, 0.000, 0.000), Tc at (0.250, 0.250, 0.750), As at (0.000, 0.000, 0.500) and Rh at (0.250, 0.250, 0.250).


[13]
Compound: ZnTcAsRh2
Source: Alexandria via LeMat-Bulk
Functional: GGA-PBE
Structure: optimized geometry

The value obtained for the energy is -5.59 eV/atom. The calculation puts the density of states at the Fermi level at 3.4 states/eV per cell.

The space group is P4/mmm (No. 123) and the conventional cell measures 4.527, 4.527 and 4.569 Å, with angles of 90.00, 90.00 and 90.00 degrees. The asymmetric unit holds Zn at (0.000, 0.000, 0.000), Tc at (0.500, 0.500, 0.000), As at (0.500, 0.500, 0.500) and Rh at (0.000, 0.500, 0.500).


[14]
Compound: TeAsRh2
Source: Alexandria via LeMat-Bulk
Functional: GGA-PBE
Structure: optimized geometry

The value obtained for the energy is -5.27 eV/atom. Its uncorrected formation energy is 1.43 eV/f.u. The calculation puts the density of states at the Fermi level at 17.0 states/eV per cell.

The space group is F-43m (No. 216) and the conventional cell measures 6.551, 6.551 and 6.551 Å, with angles of 90.00, 90.00 and 90.00 degrees. The asymmetric unit holds Te at (0.000, 0.000, 0.000), As at (0.250, 0.250, 0.750), Rh at (0.000, 0.000, 0.500) and Rh at (0.250, 0.250, 0.250).